Entry 1:
## TlSb2Mo (meta-GGA SCAN)

Data for TlSb2Mo at its PBEsol-relaxed geometry.

a b c (Å): 3.3065 3.3065 30.6628
angles (deg): 90.00 90.00 120.00
Closest atoms and distances in Å follow each position.
Space group R-3m (No. 166, hexagonal axes)
One atom of each set of equivalent atoms:
Tl1 0.0000 0.0000 0.0000 (multiplicity 3)  6 Tl 3.31, 6 Sb 3.67
Sb1 0.0000 0.0000 0.2313 (multiplicity 6)  3 Mo 2.75
Mo1 0.0000 0.0000 0.5000 (multiplicity 3)  6 Sb 2.75

ΔE to the lowest computed polymorph	0.0	meV/atom
energy relative to the elements, uncorrected	0.126	eV per atom
M_tot	0.00	μB/atom


Entry 2:
## ScAlB2Sb (meta-GGA SCAN)

Data for ScAlB2Sb at its PBEsol-relaxed geometry.

a b c (Å): 4.1274 4.1274 5.4226
angles (deg): 90.00 90.00 90.00
Closest atoms and distances in Å follow each position.
Space group P4/mmm (No. 123)
One atom of each set of equivalent atoms:
Sc1 0.0000 0.0000 0.0000 (multiplicity 1)  4 Sb 2.92
Al1 0.5000 0.5000 0.5000 (multiplicity 1)  4 B 2.06
B1 0.0000 0.5000 0.5000 (multiplicity 2)  2 Al 2.06
Sb1 0.5000 0.5000 0.0000 (multiplicity 1)  2 Al 2.71, 4 Sc 2.92

energy relative to the elements, uncorrected	0.905	eV per atom
M_tot	0.00	μB/atom


Entry 3:
## SrYAg3 (meta-GGA SCAN)

Data for SrYAg3 at its PBEsol-relaxed geometry.

a b c (Å): 5.3459 5.3459 5.3459
angles (deg): 90.00 90.00 90.00
Closest atoms and distances in Å follow each position.
Space group Pm-3m (No. 221)
One atom of each set of equivalent atoms:
Sr1 0.0000 0.0000 0.0000 (multiplicity 1)  12 Ag 3.78
Y1 0.5000 0.5000 0.5000 (multiplicity 1)  6 Ag 2.67
Ag1 0.0000 0.5000 0.5000 (multiplicity 3)  2 Y 2.67

total energy	-28.557	eV/atom
M_tot	0.00	μB/atom


Entry 4:
## CaCr2Rh (meta-GGA SCAN)

Data for CaCr2Rh at its PBEsol-relaxed geometry.

a b c (Å): 2.9562 4.7733 8.6675
angles (deg): 90.00 90.00 90.00
Closest atoms and distances in Å follow each position.
Space group Imm2 (No. 44)
One atom of each set of equivalent atoms:
Ca1 0.0000 0.0000 0.0000 (multiplicity 2)  8 Cr 2.82-3.03, 4 Rh 2.84-3.06, 2 Ca 2.96
Cr1 0.0000 0.0000 0.4667 (multiplicity 2)  2 Cr 2.16
Cr2 0.0000 0.5000 0.7849 (multiplicity 2)  2 Cr 2.16
Rh1 0.0000 0.5000 0.2206 (multiplicity 2)  6 Cr 2.65-2.86, 2 Ca 2.84, 2 Rh 2.96

ΔE to the lowest computed polymorph	0.0	meV/atom
M_tot	0.04	μB/atom


Please write out number 1 again, unchanged.
## TlSb2Mo (meta-GGA SCAN)

Data for TlSb2Mo at its PBEsol-relaxed geometry.

a b c (Å): 3.3065 3.3065 30.6628
angles (deg): 90.00 90.00 120.00
Closest atoms and distances in Å follow each position.
Space group R-3m (No. 166, hexagonal axes)
One atom of each set of equivalent atoms:
Tl1 0.0000 0.0000 0.0000 (multiplicity 3)  6 Tl 3.31, 6 Sb 3.67
Sb1 0.0000 0.0000 0.2313 (multiplicity 6)  3 Mo 2.75
Mo1 0.0000 0.0000 0.5000 (multiplicity 3)  6 Sb 2.75

ΔE to the lowest computed polymorph	0.0	meV/atom
energy relative to the elements, uncorrected	0.126	eV per atom
M_tot	0.00	μB/atom


What did the third record say?
## SrYAg3 (meta-GGA SCAN)

Data for SrYAg3 at its PBEsol-relaxed geometry.

a b c (Å): 5.3459 5.3459 5.3459
angles (deg): 90.00 90.00 90.00
Closest atoms and distances in Å follow each position.
Space group Pm-3m (No. 221)
One atom of each set of equivalent atoms:
Sr1 0.0000 0.0000 0.0000 (multiplicity 1)  12 Ag 3.78
Y1 0.5000 0.5000 0.5000 (multiplicity 1)  6 Ag 2.67
Ag1 0.0000 0.5000 0.5000 (multiplicity 3)  2 Y 2.67

total energy	-28.557	eV/atom
M_tot	0.00	μB/atom


Copy entry 2 word for word.
## ScAlB2Sb (meta-GGA SCAN)

Data for ScAlB2Sb at its PBEsol-relaxed geometry.

a b c (Å): 4.1274 4.1274 5.4226
angles (deg): 90.00 90.00 90.00
Closest atoms and distances in Å follow each position.
Space group P4/mmm (No. 123)
One atom of each set of equivalent atoms:
Sc1 0.0000 0.0000 0.0000 (multiplicity 1)  4 Sb 2.92
Al1 0.5000 0.5000 0.5000 (multiplicity 1)  4 B 2.06
B1 0.0000 0.5000 0.5000 (multiplicity 2)  2 Al 2.06
Sb1 0.5000 0.5000 0.0000 (multiplicity 1)  2 Al 2.71, 4 Sc 2.92

energy relative to the elements, uncorrected	0.905	eV per atom
M_tot	0.00	μB/atom


Please write out number 4 again, unchanged.
## CaCr2Rh (meta-GGA SCAN)

Data for CaCr2Rh at its PBEsol-relaxed geometry.

a b c (Å): 2.9562 4.7733 8.6675
angles (deg): 90.00 90.00 90.00
Closest atoms and distances in Å follow each position.
Space group Imm2 (No. 44)
One atom of each set of equivalent atoms:
Ca1 0.0000 0.0000 0.0000 (multiplicity 2)  8 Cr 2.82-3.03, 4 Rh 2.84-3.06, 2 Ca 2.96
Cr1 0.0000 0.0000 0.4667 (multiplicity 2)  2 Cr 2.16
Cr2 0.0000 0.5000 0.7849 (multiplicity 2)  2 Cr 2.16
Rh1 0.0000 0.5000 0.2206 (multiplicity 2)  6 Cr 2.65-2.86, 2 Ca 2.84, 2 Rh 2.96

ΔE to the lowest computed polymorph	0.0	meV/atom
M_tot	0.04	μB/atom